First-principles (meta-GGA SCAN) data for MgTa2Co2 at its PBEsol-relaxed geometry, as listed in Alexandria.

Cell lengths 2.960, 7.039, 7.039 Å; angles 90.00, 90.00, 90.00 degrees
Fractional coordinates of all 10 atoms:
Mg: 0.000 0.500 0.500
Mg: 0.000 0.000 0.000
Co: 0.000 0.129 0.371
Ta: 0.500 0.335 0.165
Co: 0.000 0.371 0.871
Ta: 0.500 0.165 0.665
Ta: 0.500 0.665 0.835
Ta: 0.500 0.835 0.335
Co: 0.000 0.629 0.129
Co: 0.000 0.871 0.629

Output
DOS(E_F), states/eV per atom: 0.406
Uncorrected energy, eV/cell: -346.056
SG: No. 127
Energy of formation, eV per atom: -0.056